(1)
Compound: GaCoSN2
Source: Alexandria
Functional: meta-GGA SCAN
Structure: PBEsol geometry

## Properties
The value obtained for the total magnetization is 5.86 Bohr magnetons per cell. The density of states at the Fermi level comes out at 3.1 states/eV/cell. As for the formation energy (no corrections): 1.2062 eV/atom. The space-group type is No. 123.

```
GaCoSN2
1.0
3.676 0.000 0.000
0.000 3.676 0.000
0.000 0.000 5.193
Ga Co N S
1 1 2 1
Direct
0.000 0.000 0.000
0.500 0.500 0.500
0.500 0.000 0.000
0.000 0.500 0.000
0.000 0.000 0.500
```

---

(2)
Compound: Re3SiAg
Source: Alexandria
Functional: meta-GGA SCAN
Structure: PBEsol geometry

## Properties
The value obtained for the total magnetization is 0.00 Bohr magnetons per cell. The density of states at the Fermi level comes out at 3.6 states/eV/cell. As for the formation energy (no corrections): 1.4822 eV/atom. The space-group type is No. 221.

```
Re3SiAg
1.0
-1.253 -1.856 3.760
-2.674 -2.669 -2.209
3.230 -2.930 -0.370
Re Ag Si
3 1 1
Direct
0.000 0.500 0.000
0.500 0.000 0.000
0.000 0.000 0.500
0.500 0.500 0.500
0.000 0.000 0.000
```

---

(3)
Compound: OsRhAu
Source: Alexandria
Functional: meta-GGA SCAN
Structure: PBEsol geometry

## Properties
The calculation puts the formation enthalpy at 0 K at 815 meV/atom. The value obtained for the total magnetization is 0.00 Bohr magnetons per cell. The density of states at the Fermi level comes out at 2.1 states/eV/cell. The space-group type is No. 216.

```
OsRhAu
1.0
-2.525 -3.244 0.709
0.259 -3.407 -2.393
1.546 -3.541 1.572
Os Au Rh
1 1 1
Direct
0.500 0.500 0.500
0.000 0.000 0.000
0.250 0.250 0.250
```

---

(4)
Compound: CaLa2Mn
Source: Alexandria
Functional: meta-GGA SCAN
Structure: PBEsol geometry

## Properties
The calculation puts the formation enthalpy at 0 K at 148 meV/atom. The value obtained for the total magnetization is 2.66 Bohr magnetons per cell. The density of states at the Fermi level comes out at 4.0 states/eV/cell. The space-group type is No. 71.

```
CaLa2Mn
1.0
-3.152 0.686 -1.708
-2.507 -4.160 2.954
1.479 5.350 3.319
Ca La Mn
1 2 1
Direct
0.000 0.500 0.000
0.195 0.195 0.391
0.805 0.805 0.609
0.500 0.000 0.000
```

---

(5)
Compound: OsRhNF2
Source: Alexandria
Functional: meta-GGA SCAN
Structure: PBEsol geometry

## Properties
The value obtained for the total magnetization is 1.65 Bohr magnetons per cell. The density of states at the Fermi level comes out at 3.7 states/eV/cell. As for the formation energy (no corrections): 0.1984 eV/atom. The space-group type is No. 123.

```
OsRhNF2
1.0
3.731 0.000 0.000
0.000 4.146 0.000
0.000 0.000 4.146
Rh F Os N
1 2 1 1
Direct
0.500 0.500 0.500
0.000 0.000 0.500
0.000 0.500 0.000
0.000 0.000 0.000
0.500 0.000 0.000
```

---

(6)
Compound: HfH2PtN
Source: Alexandria
Functional: meta-GGA SCAN
Structure: PBEsol geometry

## Properties
The value obtained for the total magnetization is 0.00 Bohr magnetons per cell. The density of states at the Fermi level comes out at 1.6 states/eV/cell. For the total energy, the calculation gives -151.73 eV for the cell shown. The space-group type is No. 123.

```
HfH2PtN
1.0
3.183 0.000 0.000
0.000 3.183 0.000
0.000 0.000 5.588
H Pt N Hf
2 1 1 1
Direct
0.000 0.500 0.000
0.500 0.000 0.000
0.000 0.000 0.000
0.500 0.500 0.500
0.000 0.000 0.500
```

---

(7)
Compound: YSbP2
Source: Alexandria
Functional: meta-GGA SCAN
Structure: PBEsol geometry

## Properties
The value obtained for the total magnetization is 0.00 Bohr magnetons per cell. The density of states at the Fermi level comes out at 1.5 states/eV/cell. As for the formation energy (no corrections): -0.2724 eV/atom. The space-group type is No. 65.

```
YSbP2
1.0
-1.300 -0.105 -3.139
1.784 -2.876 0.320
-6.063 -3.470 2.626
P Sb Y
2 1 1
Direct
0.000 0.000 0.763
0.000 0.000 0.237
0.500 0.500 0.500
0.500 0.500 0.000
```

---

(8)
Compound: MoIr2Ru
Source: Alexandria
Functional: meta-GGA SCAN
Structure: PBEsol geometry

## Properties
The calculation puts the formation enthalpy at 0 K at -314 meV/atom. The value obtained for the total magnetization is 0.00 Bohr magnetons per cell. The density of states at the Fermi level comes out at 2.0 states/eV/cell. The space-group type is No. 123.

```
MoIr2Ru
1.0
-3.440 1.647 -0.181
-1.635 -3.442 -0.252
-0.274 -0.151 3.843
Ir Ru Mo
2 1 1
Direct
0.000 0.500 0.000
0.500 0.000 0.000
0.000 0.000 0.500
0.500 0.500 0.500
```

---

(9)
Compound: Na2LaFe
Source: Alexandria
Functional: meta-GGA SCAN
Structure: PBEsol geometry

## Properties
The calculation puts the formation enthalpy at 0 K at 666 meV/atom. The value obtained for the total magnetization is 2.10 Bohr magnetons per cell. The density of states at the Fermi level comes out at 4.0 states/eV/cell. The space-group type is No. 225.

```
Na2LaFe
1.0
5.223 0.000 0.000
2.611 4.523 0.000
2.611 1.508 4.264
Fe La Na
1 1 2
Direct
0.000 0.000 0.000
0.500 0.500 0.500
0.250 0.250 0.250
0.750 0.750 0.750
```

---

(10)
Compound: SrYCl2
Source: Alexandria
Functional: meta-GGA SCAN
Structure: PBEsol geometry

## Properties
The value obtained for the total magnetization is 0.81 Bohr magnetons per cell. The density of states at the Fermi level comes out at 1.5 states/eV/cell. As for the formation energy (no corrections): -1.5959 eV/atom. The space-group type is No. 44.

```
SrYCl2
1.0
-3.478 0.913 -0.117
-0.190 -0.273 3.536
4.219 8.871 -0.873
Cl Y Sr
2 1 1
Direct
0.964 0.964 0.928
0.781 0.281 0.561
0.215 0.715 0.430
0.540 0.540 0.081
```

---

(11)
Compound: FeTcW2
Source: Alexandria
Functional: meta-GGA SCAN
Structure: PBEsol geometry

## Properties
The calculation puts the formation enthalpy at 0 K at 311 meV/atom. The value obtained for the total magnetization is 1.78 Bohr magnetons per cell. The density of states at the Fermi level comes out at 3.3 states/eV/cell. The space-group type is No. 12.

```
FeTcW2
1.0
-2.083 -1.561 -0.883
3.329 -0.179 -3.260
1.378 -3.458 2.864
W Tc Fe
2 1 1
Direct
0.261 0.522 0.259
0.739 0.478 0.741
0.500 0.000 0.000
0.000 0.000 0.500
```

---

(12)
Compound: CaMg2Sb
Source: Alexandria
Functional: meta-GGA SCAN
Structure: PBEsol geometry

## Properties
The value obtained for the total magnetization is 0.00 Bohr magnetons per cell. The density of states at the Fermi level comes out at 2.1 states/eV/cell. As for the formation energy (no corrections): -0.1505 eV/atom. The space-group type is No. 225.

```
CaMg2Sb
1.0
-4.087 -2.335 2.372
0.041 -0.715 5.222
-3.226 2.818 3.072
Sb Mg Ca
1 2 1
Direct
0.500 0.500 0.500
0.750 0.750 0.750
0.250 0.250 0.250
0.000 0.000 0.000
```

---

(13)
Compound: LiCu2Se2
Source: Alexandria
Functional: meta-GGA SCAN
Structure: PBEsol geometry

## Properties
The value obtained for the total magnetization is 0.00 Bohr magnetons per cell. The density of states at the Fermi level comes out at 2.8 states/eV/cell. As for the formation energy (no corrections): -0.4341 eV/atom. The space-group type is No. 139.

```
LiCu2Se2
1.0
-1.329 -1.858 -2.858
3.397 -0.463 -1.279
-0.519 -4.426 5.460
Se Li Cu
2 1 2
Direct
0.373 0.373 0.747
0.627 0.627 0.253
0.000 0.000 0.000
0.250 0.750 0.500
0.750 0.250 0.500
```

---

(14)
Compound: Zr2PtW
Source: Alexandria
Functional: meta-GGA SCAN
Structure: PBEsol geometry

## Properties
The calculation puts the formation enthalpy at 0 K at -315 meV/atom. The value obtained for the total magnetization is 0.00 Bohr magnetons per cell. The density of states at the Fermi level comes out at 3.3 states/eV/cell. The space-group type is No. 8.

```
Zr2PtW
1.0
-0.089 -0.356 2.802
3.147 -4.013 -0.409
3.369 4.068 -0.802
Pt W Zr
1 1 2
Direct
0.477 0.536 0.954
0.773 0.218 0.547
0.022 0.050 0.043
0.228 0.696 0.455
```